(1)
Below is U2NbWC4 after structural relaxation, with properties calculated at the GGA-PBE level.

Output
Its formation energy is -0.312 eV per atom. As for the density: 13.14 g cm⁻³. Its magnetic moment is 0.38 μB/f.u.

a = 3.260 Å, b = 5.614 Å, c = 5.842 Å
α = 108.76°, β = 90.00°, γ = 90.00°
Each line ends with the local moment (μB).
Sites, in units of the cell vectors:
1 U 0.500 0.000 0.500  0.27
2 U 0.000 0.500 0.500  0.13
3 Nb 0.000 0.000 0.000  -0.01
4 W 0.500 0.500 0.000  -0.01
5 C 0.500 0.248 0.226  -0.01
6 C 0.500 0.752 0.774  -0.01
7 C 0.000 0.264 0.776  -0.01
8 C 0.000 0.736 0.224  -0.01

***

(2)
Below is ZrU3Nb2C6 after structural relaxation, with properties calculated at the GGA-PBE level.

Output
Its formation energy is -0.444 eV per atom. As for the density: 11.01 g cm⁻³. Its magnetic moment is 0.00 μB/f.u.

a = 5.739 Å, b = 5.739 Å, c = 5.938 Å
α = 99.28°, β = 99.28°, γ = 119.97°
Sites, in units of the cell vectors:
1 Zr 0.000 0.000 0.000
2 U 0.165 0.835 0.500
3 U 0.835 0.165 0.500
4 U 0.500 0.500 0.500
5 Nb 0.333 0.667 0.000
6 Nb 0.667 0.333 0.000
7 C 0.921 0.581 0.764
8 C 0.738 0.738 0.234
9 C 0.079 0.419 0.236
10 C 0.581 0.921 0.764
11 C 0.262 0.262 0.766
12 C 0.419 0.079 0.236

***

(3)
Below is Nb5VC6 after structural relaxation, with properties calculated at the GGA-PBE level.

Output
Its formation energy is -0.436 eV per atom. As for the density: 7.33 g cm⁻³. Its magnetic moment is 0.00 μB/f.u.

a = 5.465 Å, b = 5.463 Å, c = 5.461 Å
α = 59.99°, β = 80.35°, γ = 70.42°
Sites, in units of the cell vectors:
1 Nb 0.500 0.166 0.668
2 Nb 0.000 0.333 0.334
3 Nb 0.500 0.500 0.000
4 Nb 0.000 0.667 0.666
5 Nb 0.500 0.834 0.332
6 C 0.755 0.081 0.326
7 C 0.245 0.592 0.326
8 C 0.246 0.244 0.000
9 C 0.754 0.756 0.000
10 C 0.755 0.408 0.674
11 C 0.245 0.919 0.674
12 V 0.000 0.000 0.000

***

(4)
Below is Nb3VC after structural relaxation, with properties calculated at the GGA-PBE level.

Output
Its formation energy is 2.131 eV per atom. The calculation puts the offset from the most stable computed form at 52.67 kcal/mol of atoms. As for the density: 5.92 g cm⁻³. Its magnetic moment is 0.00 μB/f.u.

a = 4.577 Å, b = 4.577 Å, c = 4.577 Å
α = 90.00°, β = 90.00°, γ = 90.00°
Sites, in units of the cell vectors:
1 Nb 0.000 0.500 0.000
2 Nb 0.000 0.000 0.500
3 Nb 0.500 0.000 0.000
4 C 0.500 0.500 0.500
5 V 0.000 0.000 0.000